# 1
First-principles (PBE) data for a geometry-optimized La3Mg3HgIr2 structure, as listed in OQMD.

The structure in CIF format:
```
data_La3Mg3HgIr2
_chemical_formula_sum 'La3 Mg3 Hg1 Ir2'
_cell_length_a 7.667
_cell_length_b 7.667
_cell_length_c 4.222
_cell_angle_alpha 90.00
_cell_angle_beta 90.00
_cell_angle_gamma 120.00
_space_group_name_H-M_alt 'P 1'
_space_group_IT_number 1
loop_
_space_group_symop_operation_xyz
'x,y,z'
loop_
_atom_site_label
_atom_site_fract_x
_atom_site_fract_y
_atom_site_fract_z
_atom_site_occupancy
La1 0.000 0.427 0.000 1
La2 0.427 0.000 0.000 1
La3 0.573 0.573 0.000 1
Mg1 0.000 0.747 0.500 1
Mg2 0.253 0.253 0.500 1
Mg3 0.747 0.000 0.500 1
Hg1 0.000 0.000 0.000 1
Ir1 0.333 0.667 0.500 1
Ir2 0.667 0.333 0.500 1
```

Calculated values
Total moment in μB per atom: 0.00
Crystal system: hexagonal
Space-group type: No. 189
DFT total energy in hartree per atom: -0.173
Calculated volume in A^3/atom: 23.9

***

# 2
First-principles (PBE) data for a geometry-optimized LiHg2Ir structure, as listed in OQMD.

The structure in CIF format:
```
data_LiHg2Ir
_chemical_formula_sum 'Li4 Hg8 Ir4'
_cell_length_a 6.557
_cell_length_b 6.557
_cell_length_c 6.557
_cell_angle_alpha 90.00
_cell_angle_beta 90.00
_cell_angle_gamma 90.00
_space_group_name_H-M_alt 'P 1'
_space_group_IT_number 1
loop_
_space_group_symop_operation_xyz
'x,y,z'
loop_
_atom_site_label
_atom_site_fract_x
_atom_site_fract_y
_atom_site_fract_z
_atom_site_occupancy
Li1 0.000 0.000 0.000 1
Li2 0.000 0.500 0.500 1
Li3 0.500 0.000 0.500 1
Li4 0.500 0.500 0.000 1
Hg1 0.000 0.000 0.500 1
Hg2 0.000 0.500 0.000 1
Hg3 0.250 0.250 0.750 1
Hg4 0.250 0.750 0.250 1
Hg5 0.500 0.000 0.000 1
Hg6 0.500 0.500 0.500 1
Hg7 0.750 0.250 0.250 1
Hg8 0.750 0.750 0.750 1
Ir1 0.250 0.250 0.250 1
Ir2 0.250 0.750 0.750 1
Ir3 0.750 0.250 0.750 1
Ir4 0.750 0.750 0.250 1
```

Calculated values
Total moment in μB per atom: 0.00
Crystal system: cubic
Space-group type: No. 216
DFT total energy in hartree per atom: -0.096
Calculated volume in A^3/atom: 17.6